Pm12NdNi7: relaxed, PBE.

Summary:
**Energy of formation from the pure elements**: -0.129 eV/atom

Unit cell a=14.5737 b=14.5737 c=8.5185 alpha=90.00 beta=90.00 gamma=120.00
Last column: nearest neighbours and their distance in Å.
Space group R-3 (No. 148, hexagonal axes)
Unique sites:
Pm1 0.0458 0.2050 0.3762  3 Ni 2.78-2.91
Pm2 0.0525 0.5959 0.6498  3 Ni 2.78-2.90
Nd1 0.0000 0.0000 0.0000  6 Ni 3.07
Ni1 0.0000 0.0000 0.5000  6 Pm 2.91, 6 Ni 3.20
Ni2 0.0374 0.1729 0.7612  5 Pm 2.78-2.90, 1 Nd 3.07

RbMgHg2Au: relaxed, PBE.

Summary:
**Energy of formation from the pure elements**: -0.144 eV/atom

Unit cell a=5.5316 b=5.5316 c=5.2167 alpha=90.00 beta=90.00 gamma=90.00
Last column: nearest neighbours and their distance in Å.
Space group P4/mmm (No. 123)
Unique sites:
Rb1 0.0000 0.0000 0.0000  8 Hg 3.80, 4 Mg 3.91
Mg1 0.5000 0.5000 0.0000  2 Au 2.61
Hg1 0.0000 0.5000 0.5000  2 Au 2.77
Au1 0.5000 0.5000 0.5000  2 Mg 2.61, 4 Hg 2.77

Number 1: calculated volume 26.11 A^3/atom. Number 2: calculated volume 31.92 A^3/atom.